PBE Pm2AgPd3, optimized geometry; VASP energy = -5.337 eV per atom; density = 9.3 g/cm³; energy of formation = -0.68 eV/atom; distance to the lowest polymorph of the same formula = 0.0 meV/atom
1.0
7.453 0.000 0.000
0.000 3.915 0.000
0.000 0.000 17.586
Pm Ag Pd
8 4 12
Direct
0.095 0.250 0.208
0.159 0.250 0.429
0.341 0.750 0.929
0.405 0.750 0.708
0.595 0.250 0.292
0.659 0.250 0.071
0.841 0.750 0.571
0.905 0.750 0.792
0.010 0.750 0.062
0.490 0.250 0.562
0.510 0.750 0.438
0.990 0.250 0.938
0.092 0.250 0.656
0.215 0.250 0.809
0.226 0.750 0.553
0.274 0.250 0.053
0.285 0.750 0.309
0.408 0.750 0.156
0.592 0.250 0.844
0.715 0.250 0.691
0.726 0.750 0.947
0.774 0.250 0.447
0.785 0.750 0.191
0.908 0.750 0.344